Compound: Li2AlTe
Source: Alexandria via LeMat-Bulk
Functional: PBE
Structure: optimized geometry

Values from the calculation:
Its excess energy over the best structure of this formula in the dataset is 0.107 eV/atom. The space-group type is C2/m, No. 12.

abc: 6.7756 5.3430 3.0230
angles: 89.90 63.67 120.57
Last column: nearest neighbours and their distance in Å.
Fractional coordinates of all 4 atoms:
Li: 0.5000 0.0000 0.5000  4 Li 3.02-3.04, 4 Te 3.07, 4 Al 3.07
Te: 0.0000 0.5000 0.5000  2 Te 3.02, 2 Al 3.04, 8 Li 3.07
Li: 0.0000 0.0000 0.0000  4 Li 3.02-3.04, 4 Al 3.07, 4 Te 3.07
Al: 0.5000 0.5000 0.0000  2 Al 3.02, 2 Te 3.04, 8 Li 3.07



Compound: LiAlTe2
Source: Alexandria via LeMat-Bulk
Functional: PBE
Structure: optimized geometry

Values from the calculation:
The value obtained for the final energy is -3.20 eV/atom. The space-group type is R3m, No. 160.

abc: 6.9244 6.9244 6.9244
angles: 36.20 36.20 36.20
Last column: nearest neighbours and their distance in Å.
Fractional coordinates of all 4 atoms:
Al: 0.4942 0.4942 0.4942  3 Te 2.84, 3 Li 3.07
Te: 0.2323 0.2323 0.2323  3 Al 2.84
Li: 0.7348 0.7348 0.7348  3 Te 2.55
Te: 0.0388 0.0388 0.0388  3 Li 2.55



Compound: Li3AlTe
Source: Alexandria via LeMat-Bulk
Functional: PBE
Structure: optimized geometry

Values from the calculation:
Its excess energy over the best structure of this formula in the dataset is 0.278 eV/atom. The space-group type is Pm-3m, No. 221.

abc: 4.9159 4.9159 4.9159
angles: 90.00 90.00 90.00
Last column: nearest neighbours and their distance in Å.
Fractional coordinates of all 5 atoms:
Al: 0.0000 0.0000 0.0000  6 Li 2.46
Li: 0.5000 0.0000 0.0000  2 Al 2.46
Te: 0.5000 0.5000 0.5000  12 Li 3.48
Li: 0.0000 0.5000 0.0000  2 Al 2.46
Li: 0.0000 0.0000 0.5000  2 Al 2.46



Compound: Li2AlTe
Source: Alexandria via LeMat-Bulk
Functional: PBE
Structure: optimized geometry

Values from the calculation:
Its excess energy over the best structure of this formula in the dataset is 0.194 eV/atom. The space-group type is P4/mmm, No. 123.

abc: 3.1663 3.1663 8.2361
angles: 90.00 90.00 90.03
Last column: nearest neighbours and their distance in Å.
Fractional coordinates of all 4 atoms:
Al: 0.5000 0.5000 0.7500  8 Li 3.00, 4 Al 3.17
Li: 0.0000 0.0000 0.9919  4 Al 3.00, 4 Te 3.09, 4 Li 3.17
Te: 0.5000 0.5000 0.2500  8 Li 3.09, 4 Te 3.17
Li: 0.0000 0.0000 0.5081  4 Al 3.00, 4 Te 3.09, 4 Li 3.17



Compound: Li2AlTe
Source: Alexandria via LeMat-Bulk
Functional: PBE
Structure: optimized geometry

Values from the calculation:
Its excess energy over the best structure of this formula in the dataset is 0.281 eV/atom. The space-group type is F-43m, No. 216.

abc: 5.0234 5.0234 5.0234
angles: 60.00 60.00 60.00
Last column: nearest neighbours and their distance in Å.
Fractional coordinates of all 4 atoms:
Li: 0.2500 0.2500 0.2500  4 Li 3.08, 4 Al 3.08
Al: 0.5000 0.5000 0.5000  4 Li 3.08, 4 Te 3.08
Li: 0.0000 0.0000 0.0000  4 Li 3.08, 4 Te 3.08
Te: 0.7500 0.7500 0.7500  4 Al 3.08, 4 Li 3.08



Compound: LiAl4Te
Source: Alexandria via LeMat-Bulk
Functional: PBE
Structure: optimized geometry

Values from the calculation:
The value obtained for the final energy is -3.23 eV/atom. The space-group type is F-43m, No. 216.

abc: 5.5370 5.5370 5.5370
angles: 60.00 60.00 60.00
Last column: nearest neighbours and their distance in Å.
Fractional coordinates of all 6 atoms:
Li: 0.7500 0.7500 0.7500  12 Al 3.24, 4 Te 3.39
Al: 0.3757 0.3757 0.8728  6 Al 2.75-2.78
Al: 0.3757 0.8728 0.3757  6 Al 2.75-2.78
Te: 0.0000 0.0000 0.0000  12 Al 3.25, 4 Li 3.39
Al: 0.8728 0.3757 0.3757  6 Al 2.75-2.78
Al: 0.3757 0.3757 0.3757  6 Al 2.75-2.78



Compound: Li2AlTe
Source: Alexandria via LeMat-Bulk
Functional: PBE
Structure: optimized geometry

Values from the calculation:
Its excess energy over the best structure of this formula in the dataset is 0.081 eV/atom. The space-group type is I4/mmm, No. 139.

abc: 5.2393 5.2393 5.2393
angles: 130.45 130.42 72.71
Last column: nearest neighbours and their distance in Å.
Fractional coordinates of all 4 atoms:
Li: 0.5004 0.5004 0.0000  4 Te 3.04-3.05, 4 Al 3.04-3.05, 4 Li 3.11
Te: 0.7500 0.2500 0.5000  8 Li 3.04-3.05, 4 Al 3.11
Li: 0.9996 0.9996 0.0000  4 Te 3.04-3.05, 4 Al 3.04-3.05, 4 Li 3.11
Al: 0.2500 0.7500 0.5000  8 Li 3.04-3.05, 4 Te 3.11



Compound: LiAlTe2
Source: Alexandria via LeMat-Bulk
Functional: PBE
Structure: optimized geometry

Values from the calculation:
The value obtained for the final energy is -3.33 eV/atom. The space-group type is P2/m, No. 10.

abc: 3.8053 4.9254 8.2285
angles: 120.46 90.00 90.00
Last column: nearest neighbours and their distance in Å.
Fractional coordinates of all 4 atoms:
Al: 0.5000 0.2500 0.2500  4 Te 2.70
Li: 0.5000 0.7500 0.7500  4 Te 2.95
Te: 0.0000 0.2324 0.0126  2 Al 2.70, 2 Li 2.95
Te: 0.0000 0.2676 0.4874  2 Al 2.70, 2 Li 2.95